No. 1
The following is a SCAN calculation of KTa2Ir at its PBEsol-relaxed geometry, from Alexandria via LeMat-Bulk.

Results
Its distance to the lowest polymorph of the same formula is 0 meV/atom. The density comes out at 11.82 g/cm3.

a = 2.836 Å, b = 2.836 Å, c = 10.368 Å
α = 90.00°, β = 90.00°, γ = 90.00°
Fractional coordinates of all 4 atoms:
1 K 0.000 0.000 0.000
2 Ta 0.500 0.500 0.318
3 Ta 0.500 0.500 0.682
4 Ir 0.000 0.000 0.500

=====

No. 2
The following is a SCAN calculation of Sc2SnPPb at its PBEsol-relaxed geometry, from Alexandria via LeMat-Bulk.

Results
The final energy is -30.5080 eV per atom. The density comes out at 6.02 g/cm3.

a = 4.904 Å, b = 4.904 Å, c = 5.124 Å
α = 90.00°, β = 90.00°, γ = 90.00°
Fractional coordinates of all 5 atoms:
1 Sc 0.000 0.500 0.000
2 Sc 0.500 0.000 0.000
3 Sn 0.000 0.000 0.500
4 P 0.000 0.000 0.000
5 Pb 0.500 0.500 0.500

=====

No. 3
The following is a SCAN calculation of ZrCdS2N at its PBEsol-relaxed geometry, from Alexandria via LeMat-Bulk.

Results
The formation energy (no corrections) comes out at 585 meV/atom. The density comes out at 5.01 g/cm3.

a = 4.827 Å, b = 4.827 Å, c = 4.005 Å
α = 90.00°, β = 90.00°, γ = 90.00°
Fractional coordinates of all 5 atoms:
1 Zr 0.000 0.000 0.000
2 Cd 0.500 0.500 0.500
3 S 0.000 0.500 0.500
4 S 0.500 0.000 0.500
5 N 0.500 0.500 0.000

=====

No. 4
The following is a SCAN calculation of Li4WCl at its PBEsol-relaxed geometry, from Alexandria via LeMat-Bulk.

Results
The formation energy (no corrections) comes out at 692 meV/atom. The density comes out at 4.04 g/cm3.

a = 5.237 Å, b = 5.237 Å, c = 5.237 Å
α = 60.00°, β = 60.00°, γ = 60.00°
Fractional coordinates of all 6 atoms:
1 Li 0.123 0.123 0.123
2 Li 0.123 0.123 0.632
3 Li 0.123 0.632 0.123
4 Li 0.632 0.123 0.123
5 W 0.750 0.750 0.750
6 Cl 0.500 0.500 0.500

=====

No. 5
The following is a SCAN calculation of IrOsPt at its PBEsol-relaxed geometry, from Alexandria via LeMat-Bulk.

Results
Its distance to the lowest polymorph of the same formula is 41 meV/atom. The density comes out at 22.41 g/cm3.

a = 4.715 Å, b = 4.715 Å, c = 4.715 Å
α = 146.40°, β = 131.88°, γ = 59.97°
Fractional coordinates of all 3 atoms:
1 Ir 0.000 0.000 0.000
2 Os 0.657 0.657 0.000
3 Pt 0.326 0.326 0.000

=====

No. 6
The following is a SCAN calculation of ThInRu2 at its PBEsol-relaxed geometry, from Alexandria via LeMat-Bulk.

Results
The final energy is -50.0466 eV per atom. The density comes out at 12.23 g/cm3.

a = 4.724 Å, b = 4.724 Å, c = 4.724 Å
α = 60.00°, β = 60.00°, γ = 60.00°
Fractional coordinates of all 4 atoms:
1 Th 0.000 0.000 0.000
2 In 0.500 0.500 0.500
3 Ru 0.250 0.250 0.250
4 Ru 0.750 0.750 0.750

=====

No. 7
The following is a SCAN calculation of Ca5In at its PBEsol-relaxed geometry, from Alexandria via LeMat-Bulk.

Results
Its distance to the lowest polymorph of the same formula is 39 meV/atom. The density comes out at 2.54 g/cm3.

a = 8.579 Å, b = 8.579 Å, c = 5.524 Å
α = 90.00°, β = 90.00°, γ = 149.49°
Fractional coordinates of all 6 atoms:
1 Ca 0.000 0.000 0.000
2 Ca 0.150 0.850 0.500
3 Ca 0.335 0.665 0.000
4 Ca 0.665 0.335 0.000
5 Ca 0.850 0.150 0.500
6 In 0.500 0.500 0.500

=====

No. 8
The following is a SCAN calculation of KAuSe2N at its PBEsol-relaxed geometry, from Alexandria via LeMat-Bulk.

Results
The formation energy (no corrections) comes out at 425 meV/atom. The density comes out at 5.99 g/cm3.

a = 5.539 Å, b = 5.539 Å, c = 3.687 Å
α = 90.00°, β = 90.00°, γ = 90.00°
Fractional coordinates of all 5 atoms:
1 K 0.000 0.000 0.000
2 Au 0.500 0.500 0.500
3 Se 0.000 0.500 0.500
4 Se 0.500 0.000 0.500
5 N 0.500 0.500 0.000

=====

No. 9
The following is a SCAN calculation of MgAg at its PBEsol-relaxed geometry, from Alexandria via LeMat-Bulk.

Results
The final energy is -18.4107 eV per atom. The density comes out at 6.22 g/cm3.

a = 5.253 Å, b = 5.253 Å, c = 5.253 Å
α = 135.34°, β = 135.34°, γ = 65.00°
Fractional coordinates of all 4 atoms:
1 Mg 0.375 0.625 0.750
2 Mg 0.625 0.375 0.250
3 Ag 0.125 0.875 0.250
4 Ag 0.875 0.125 0.750

=====

No. 10
The following is a SCAN calculation of Al2FeMo at its PBEsol-relaxed geometry, from Alexandria via LeMat-Bulk.

Results
Its distance to the lowest polymorph of the same formula is 139 meV/atom. The density comes out at 6.32 g/cm3.

a = 4.243 Å, b = 4.243 Å, c = 4.243 Å
α = 60.00°, β = 60.00°, γ = 60.00°
Fractional coordinates of all 4 atoms:
1 Al 0.250 0.250 0.250
2 Al 0.750 0.750 0.750
3 Fe 0.000 0.000 0.000
4 Mo 0.500 0.500 0.500

=====

No. 11
The following is a SCAN calculation of InRe2Ni at its PBEsol-relaxed geometry, from Alexandria via LeMat-Bulk.

Results
The final energy is -47.4579 eV per atom. The density comes out at 15.23 g/cm3.

a = 2.723 Å, b = 4.478 Å, c = 4.974 Å
α = 90.00°, β = 101.15°, γ = 90.00°
Fractional coordinates of all 4 atoms:
1 In 0.000 0.000 0.000
2 Re 0.302 0.500 0.739
3 Re 0.698 0.500 0.261
4 Ni 0.500 0.000 0.500

=====

No. 12
The following is a SCAN calculation of TmLuIn2 at its PBEsol-relaxed geometry, from Alexandria via LeMat-Bulk.

Results
The final energy is -44.0426 eV per atom. The density comes out at 9.86 g/cm3.

a = 5.150 Å, b = 5.150 Å, c = 5.150 Å
α = 60.00°, β = 60.00°, γ = 60.00°
Fractional coordinates of all 4 atoms:
1 Tm 0.000 0.000 0.000
2 Lu 0.500 0.500 0.500
3 In 0.250 0.250 0.250
4 In 0.750 0.750 0.750